# TbDy2HoSe6 PBE relaxed
# - raw formation energy (eV/atom) = -1.8530
# - symmetry = No. 146
# - ρ (g/cm³) = 6.40
data_TbDy2HoSe6
_cell_length_a 7.205
_cell_length_b 7.205
_cell_length_c 7.704
_cell_angle_alpha 62.11
_cell_angle_beta 62.11
_cell_angle_gamma 59.99
_space_group_name_H-M_alt 'P 1'
_space_group_IT_number 1
_space_group_name_Hall 'P 1'
loop_
_atom_site_label
_atom_site_fract_x
_atom_site_fract_y
_atom_site_fract_z
Se1 0.722 0.110 0.751
Se2 0.110 0.418 0.751
Se3 0.418 0.722 0.751
Se4 0.915 0.613 0.252
Se5 0.220 0.914 0.252
Se6 0.613 0.220 0.252
Dy1 0.014 0.014 0.957
Dy2 0.514 0.514 0.458
Ho1 0.818 0.819 0.544
Tb1 0.318 0.318 0.047